[1]
MgNp2Sn9 after structural relaxation, computed with PBE.

E_form: -0.078 eV per atom
energy: -64.4 eV per cell

a b c (Å): 4.6314 4.6314 14.2747
angles (deg): 90.00 90.00 90.00
Last column: nearest neighbours and their distance in Å.
Space group P4/mmm (No. 123)
Symmetry-distinct sites (fractional):
Mg  0.0000  0.0000  0.0000 [1 per cell]  12 Sn 3.27-3.32
Np  0.0000  0.0000  0.3400 [2 per cell]  12 Sn 3.25-3.39
Sn  0.0000  0.5000  0.1662 [4 per cell]  8 Sn 3.27-3.32, 2 Mg 3.32, 2 Np 3.39
Sn  0.0000  0.5000  0.5000 [2 per cell]  4 Np 3.25, 8 Sn 3.27-3.33
Sn  0.5000  0.5000  0.0000 [1 per cell]  4 Mg 3.27, 8 Sn 3.32
Sn  0.5000  0.5000  0.3323 [2 per cell]  4 Np 3.28, 8 Sn 3.31-3.33

***

[2]
La2Cu2HgPd5 after structural relaxation, computed with PBE.

E_form: -0.591 eV per atom
energy: -100.4 eV per cell

a b c (Å): 9.6408 9.6408 4.0200
angles (deg): 90.00 90.00 90.00
Last column: nearest neighbours and their distance in Å.
Space group P4/mbm (No. 127)
Symmetry-distinct sites (fractional):
La  0.1794  0.3206  0.0000 [4 per cell]  3 Cu 2.77-2.92
Cu  0.1174  0.6174  0.0000 [4 per cell]  6 Pd 2.57-2.65, 1 La 2.77
Hg  0.0000  0.0000  0.0000 [2 per cell]  8 Pd 2.93
Pd  0.0000  0.5000  0.5000 [2 per cell]  4 Cu 2.57, 4 Pd 2.86
Pd  0.0681  0.7892  0.5000 [8 per cell]  2 Cu 2.65, 1 Pd 2.86, 2 Hg 2.93

***

[3]
Y2Be2Au after structural relaxation, computed with PBE.

E_form: -0.259 eV per atom
energy: -49.9 eV per cell

a b c (Å): 6.8655 6.8655 4.0322
angles (deg): 90.00 90.00 90.00
Last column: nearest neighbours and their distance in Å.
Space group P4/mbm (No. 127)
Symmetry-distinct sites (fractional):
Y  0.1781  0.3219  0.0000 [4 per cell]  6 Be 2.85-2.88
Be  0.1137  0.6137  0.5000 [4 per cell]  1 Be 2.21
Au  0.0000  0.0000  0.5000 [2 per cell]  4 Be 2.76

***

[4]
SrCuBi2Se4 after structural relaxation, computed with PBE.

energy: -130.4 eV per cell
raw formation energy: -0.642 eV per atom

a b c (Å): 4.4807 13.4535 14.4458
angles (deg): 90.00 90.00 90.00
Last column: nearest neighbours and their distance in Å.
Space group Cmcm (No. 63)
Symmetry-distinct sites (fractional):
Sr  0.0000  0.1223  0.2500 [4 per cell]  6 Se 3.22-3.25, 1 Cu 3.50
Cu  0.0000  0.1375  0.7500 [4 per cell]  4 Se 2.53-2.55
Bi  0.0000  0.3716  0.0546 [8 per cell]  6 Se 2.91-3.09
Se  0.0000  0.0000  0.0000 [4 per cell]  4 Bi 2.94
Se  0.0000  0.2685  0.6223 [8 per cell]  1 Cu 2.55
Se  0.0000  0.4501  0.2500 [4 per cell]  2 Cu 2.53

***

[5]
Th2Be3AlRh4 after structural relaxation, computed with PBE.

E_form: -0.723 eV per atom
energy: -66.4 eV per cell

a b c (Å): 4.0877 4.0877 9.7854
angles (deg): 90.00 90.00 90.00
Last column: nearest neighbours and their distance in Å.
Space group P-4m2 (No. 115)
Symmetry-distinct sites (fractional):
Th  0.0000  0.5000  0.2330 [2 per cell]  8 Rh 3.06-3.13, 7 Be 3.13-3.35, 2 Al 3.32
Be  0.0000  0.5000  0.8909 [2 per cell]  5 Rh 2.31-2.42
Be  0.5000  0.5000  0.5000 [1 per cell]  4 Rh 2.48
Al  0.0000  0.0000  0.5000 [1 per cell]  4 Rh 2.48
Rh  0.0000  0.0000  0.0000 [1 per cell]  4 Be 2.31
Rh  0.0000  0.5000  0.6440 [2 per cell]  3 Be 2.42-2.48, 2 Al 2.48
Rh  0.5000  0.5000  0.0000 [1 per cell]  4 Be 2.31

***

[6]
PmTlSi after structural relaxation, computed with PBE.

energy: -55.9 eV per cell
raw formation energy: -0.482 eV per atom

a b c (Å): 4.2081 18.8296 3.8554
angles (deg): 90.00 90.00 90.00
Last column: nearest neighbours and their distance in Å.
Space group Cmcm (No. 63)
Symmetry-distinct sites (fractional):
Pm  0.0000  0.0884  0.2500 [4 per cell]  6 Si 3.01-3.17
Tl  0.0000  0.2920  0.2500 [4 per cell]  1 Si 3.21, 4 Tl 3.26
Si  0.0000  0.4623  0.2500 [4 per cell]  2 Si 2.39

***

Which of these has the highest energy? Y2Be2Au